Record 1
The following is a PBE calculation of a relaxed structure of Sr4HgAs, from the Alexandria database. Values from VASP.

## Properties
ΔE_f, kJ/mol of atoms: 30
Space group: F-43m

The structure in Quantum ESPRESSO input format:
```
&SYSTEM
  ibrav = 0, nat = 6, ntyp = 3
/
ATOMIC_SPECIES
Sr 87.62 Sr.upf
Hg 200.59 Hg.upf
As 74.92 As.upf
ATOMIC_POSITIONS angstrom
Sr 4.5213 -4.4093 -1.3027
Sr 7.8032 -5.3745 -0.6908
Sr 6.3959 -5.8912 -3.8260
Sr 5.3334 -7.7829 -1.1112
Hg 0.0000 0.0000 0.0000
As 9.0201 -8.7967 -2.5990
CELL_PARAMETERS angstrom
6.6131 -1.9449 1.2331
1.6363 -6.7978 0.3859
3.7774 -2.9862 -5.0844
```

Record 2
The following is a PBE calculation of a relaxed structure of TbPmHo2, from the Alexandria database. Values from VASP.

## Properties
ΔE_f, kJ/mol of atoms: 13
Space group: Fm-3m

The structure in Quantum ESPRESSO input format:
```
&SYSTEM
  ibrav = 0, nat = 4, ntyp = 3
/
ATOMIC_SPECIES
Pm 145.00 Pm.upf
Ho 164.93 Ho.upf
Tb 158.93 Tb.upf
ATOMIC_POSITIONS angstrom
Pm -6.1827 0.7418 -3.1060
Ho -9.2740 1.1128 -4.6591
Ho -3.0913 0.3709 -1.5530
Tb 0.0000 0.0000 0.0000
CELL_PARAMETERS angstrom
-3.8786 3.7526 -1.7767
-2.9568 -1.0023 -4.7471
-5.5300 -1.2667 0.3117
```

Record 3
The following is a PBE calculation of a relaxed structure of NaTbHo2, from the Alexandria database. Values from VASP.

## Properties
ΔE_f, kJ/mol of atoms: 16
Space group: R-3m

The structure in Quantum ESPRESSO input format:
```
&SYSTEM
  ibrav = 0, nat = 4, ntyp = 3
/
ATOMIC_SPECIES
Tb 158.93 Tb.upf
Ho 164.93 Ho.upf
Na 22.99 Na.upf
ATOMIC_POSITIONS angstrom
Tb -6.3182 -1.4286 3.7724
Ho -4.7641 -4.3379 2.6824
Ho -7.8723 1.4806 4.8623
Na 0.0000 0.0000 0.0000
CELL_PARAMETERS angstrom
-1.9144 -2.7345 -1.0151
-0.1028 -2.8825 1.9631
-10.6192 2.7598 6.5968
```

Record 4
The following is a PBE calculation of a relaxed structure of BaCaCu2Si2, from the Alexandria database. Values from VASP.

## Properties
Space group: P-3m1
Formation energy from raw total energies, eV/atom: -0.32

The structure in Quantum ESPRESSO input format:
```
&SYSTEM
  ibrav = 0, nat = 6, ntyp = 4
/
ATOMIC_SPECIES
Cu 63.55 Cu.upf
Ba 137.33 Ba.upf
Si 28.09 Si.upf
Ca 40.08 Ca.upf
ATOMIC_POSITIONS angstrom
Cu 2.0596 1.1891 6.7479
Cu 0.0000 2.3782 2.5740
Ba 0.0000 0.0000 0.0000
Si 2.0596 1.1891 2.5129
Si 0.0000 2.3782 6.8091
Ca 0.0000 0.0000 4.6610
CELL_PARAMETERS angstrom
4.1192 0.0000 0.0000
-2.0596 3.5673 0.0000
0.0000 0.0000 9.3219
```

Record 5
The following is a PBE calculation of a relaxed structure of Sm5Dy2Y3, from the Alexandria database. Values from VASP.

## Properties
ΔE_f, kJ/mol of atoms: 19
Space group: C2/c

The structure in Quantum ESPRESSO input format:
```
&SYSTEM
  ibrav = 0, nat = 20, ntyp = 3
/
ATOMIC_SPECIES
Y 88.91 Y.upf
Dy 162.50 Dy.upf
Sm 150.36 Sm.upf
ATOMIC_POSITIONS angstrom
Y 0.1781 6.3055 -0.7335
Y 0.4385 6.7749 5.0897
Y 6.6822 1.6375 -2.8810
Y 1.1123 3.3106 4.6086
Y 6.9426 2.1069 2.9422
Y 6.0085 5.1018 -2.3998
Dy 2.9557 5.4746 2.9662
Dy 5.1254 -0.0256 4.6536
Dy 1.9953 8.4380 -2.4449
Dy 4.1650 2.9378 -0.7575
Sm -0.5571 5.5786 2.4703
Sm 1.5947 -0.1318 6.0664
Sm 0.6218 2.8166 0.6224
Sm 4.5382 3.3225 5.1192
Sm 5.5261 8.5442 -3.8576
Sm 7.6779 2.8338 -0.2615
Sm 3.5059 2.0821 2.4033
Sm 3.6148 6.3304 -0.1945
Sm 6.4990 5.5958 1.5863
Sm 2.5825 5.0899 -2.9105
CELL_PARAMETERS angstrom
8.7573 2.0002 -4.2422
0.5640 8.9125 -4.2849
-2.2005 -2.5003 10.7358
```

Record 6
The following is a PBE calculation of a relaxed structure of Cd2SbPd5Au2, from the Alexandria database. Values from VASP.

## Properties
Space group: P4/mbm
Formation energy from raw total energies, eV/atom: -0.24

The structure in Quantum ESPRESSO input format:
```
&SYSTEM
  ibrav = 0, nat = 20, ntyp = 4
/
ATOMIC_SPECIES
Cd 112.41 Cd.upf
Pd 106.42 Pd.upf
Au 196.97 Au.upf
Sb 121.76 Sb.upf
ATOMIC_POSITIONS angstrom
Cd 1.8505 8.3092 4.1817
Cd 0.7859 3.3589 1.8856
Cd 1.4417 0.9204 6.8389
Cd 2.5063 5.8708 9.1350
Pd -0.9326 5.3546 0.7276
Pd -1.2760 0.0623 2.3696
Pd -0.4869 8.4344 1.0394
Pd -0.7319 -0.3257 5.4249
Pd -0.3108 2.7683 5.6007
Pd 0.3508 4.5401 7.8691
Pd 0.4685 1.2093 10.6234
Pd 1.2576 9.5814 9.2932
Pd -0.3692 5.1036 3.7937
Pd 0.2924 6.8754 6.0621
Au 2.4295 8.0446 7.3374
Au 1.2205 6.5431 2.0729
Au 0.8627 1.1850 3.6833
Au 2.0717 2.6865 8.9477
Sb 1.6461 4.6148 5.5103
Sb 0.0000 0.0000 0.0000
CELL_PARAMETERS angstrom
-3.3106 0.4141 0.6422
1.8468 -1.0655 10.2075
1.4454 10.2951 0.8131
```

| no. | electronic total energy (eV/atom) |
| --- | --- |
| 1 | -1.64 |
| 2 | -4.50 |
| 3 | -3.61 |
| 4 | -4.15 |
| 5 | -5.03 |
| 6 | -4.09 |